[1]
VASP calculation (GGA-PBE) on a geometry-optimized Nd3Y2Tm4 structure.

Results
E_tot   -4.910 eV per atom
DOS(E_F)   13.5 states/eV/f.u.
Energy of formation   0.10 eV/atom
Calculated volume   32.2 Å³ per atom
Energy above the most stable polymorph in this dataset   0 meV/atom

```
Nd3Y2Tm4
1.0
8.312 -5.833 0.000
8.312 5.833 0.000
-0.807 0.000 5.980
Nd Y Tm
6 4 8
Cartesian
7.707 4.543 4.485
4.820 1.229 5.459
5.224 -1.229 2.470
10.593 1.229 3.510
10.997 -1.229 0.520
8.111 -4.543 1.495
6.184 4.323 1.137
10.037 4.323 1.853
5.780 -4.323 4.127
9.634 -4.323 4.843
3.364 1.580 2.094
7.096 1.524 2.859
2.961 -1.580 5.084
9.125 1.524 0.131
6.693 -1.524 5.848
12.857 1.580 0.896
8.721 -1.524 3.121
12.453 -1.580 3.886
```

[2]
VASP calculation (GGA-PBE) on a geometry-optimized Nd5YTm structure.

Results
E_tot   -4.795 eV per atom
DOS(E_F)   10.3 states/eV/f.u.
Energy of formation   0.17 eV/atom
Calculated volume   34.8 Å³ per atom
Energy above the most stable polymorph in this dataset   20 meV/atom

```
Nd5YTm
1.0
3.100 -8.839 0.000
3.100 8.839 0.000
-1.755 0.000 8.900
Nd Y Tm
10 2 2
Cartesian
0.112 3.281 5.752
1.783 6.338 6.675
2.362 2.670 0.317
0.989 -3.281 1.303
2.959 2.670 4.133
1.485 -2.670 4.767
3.455 3.281 7.597
2.082 -2.670 8.582
2.661 -6.338 2.225
4.332 -3.281 3.147
0.000 0.000 0.000
-0.878 0.000 4.450
1.783 0.202 6.675
2.661 -0.202 2.225
```

[3]
VASP calculation (GGA-PBE) on a geometry-optimized Nd2Y5Tm2 structure.

Results
E_tot   -5.623 eV per atom
DOS(E_F)   12.5 states/eV/f.u.
Energy of formation   0.02 eV/atom
Calculated volume   32.3 Å³ per atom
Energy above the most stable polymorph in this dataset   0 meV/atom

```
Nd2Y5Tm2
1.0
6.188 0.000 0.000
-3.087 5.367 0.000
-0.013 -3.565 8.764
Nd Y Tm
2 5 2
Cartesian
-1.035 1.785 1.490
4.123 0.017 7.274
1.017 -1.777 7.282
2.057 0.007 1.488
3.088 -1.783 4.382
1.031 1.795 7.276
2.071 3.579 1.482
-0.003 0.009 4.381
3.091 1.793 4.383
```

[4]
VASP calculation (GGA-PBE) on a geometry-optimized Nd2Y6Tm structure.

Results
E_tot   -5.795 eV per atom
DOS(E_F)   15.0 states/eV/f.u.
Energy of formation   0.07 eV/atom
Calculated volume   32.5 Å³ per atom
Energy above the most stable polymorph in this dataset   0 meV/atom

```
Nd2Y6Tm
1.0
-4.886 8.628 3.474
4.886 -8.628 3.474
4.886 8.628 -3.474
Nd Y Tm
4 12 2
Cartesian
4.886 5.742 -1.737
0.000 2.886 1.737
4.886 5.742 1.737
0.000 2.886 5.212
8.115 0.167 0.000
3.230 2.700 0.000
6.490 2.996 0.000
1.604 5.632 0.000
3.230 -2.700 3.474
3.230 8.461 0.000
1.656 0.167 3.474
1.655 11.328 0.000
3.282 2.996 3.474
-1.604 5.632 3.474
1.655 5.929 3.474
-3.230 8.461 3.474
4.886 0.000 1.737
0.000 8.628 1.737
```

[5]
VASP calculation (GGA-PBE) on a geometry-optimized NdYTm structure.

Results
E_tot   -5.209 eV per atom
DOS(E_F)   4.4 states/eV/f.u.
Energy of formation   0.03 eV/atom
Calculated volume   32.5 Å³ per atom
Energy above the most stable polymorph in this dataset   29 meV/atom

```
NdYTm
1.0
-1.791 1.791 7.602
1.791 -1.791 7.602
1.791 1.791 -7.602
Nd Y Tm
1 1 1
Cartesian
0.000 0.000 0.000
0.000 0.000 10.194
0.000 0.000 5.078
```

[6]
VASP calculation (GGA-PBE) on a geometry-optimized Nd2Y3Tm9 structure.

Results
E_tot   -4.856 eV per atom
DOS(E_F)   22.8 states/eV/f.u.
Energy of formation   0.09 eV/atom
Calculated volume   31.5 Å³ per atom

```
Nd2Y3Tm9
1.0
6.377 0.000 0.000
2.704 7.883 0.000
1.081 0.004 8.777
Nd Y Tm
2 3 9
Cartesian
0.000 0.000 0.000
2.932 5.132 1.728
3.961 0.280 6.956
5.054 2.709 1.456
7.088 4.320 3.945
2.565 3.055 8.352
1.972 1.339 2.517
4.750 6.485 4.420
3.852 3.077 4.783
5.690 4.571 7.258
6.121 6.204 1.076
7.905 7.760 3.649
7.157 1.565 5.835
8.851 5.785 6.557
```

Q: What is the energy of formation in the fifth record?
A: 0.03 eV/atom